[1]
First-principles (PBE) data for a relaxed MgHgPd2 crystal, as listed in the Alexandria database.

Space-group type: No. 225

Cell and atoms, written as POSCAR:
```
MgHgPd2
1.0
-3.905 0.258 -2.409
-1.453 -3.629 -2.417
-3.707 -2.342 1.375
Mg Hg Pd
1 1 2
direct
0.750 0.750 0.750
0.250 0.250 0.250
0.500 0.500 0.500
0.000 0.000 0.000
```

[2]
First-principles (PBE) data for a relaxed CaZrRh2 crystal, as listed in the Alexandria database.

Space-group type: No. 12

Cell and atoms, written as POSCAR:
```
CaZrRh2
1.0
-1.544 -2.543 2.414
1.491 -1.665 3.112
-2.555 4.784 5.097
Ca Rh Zr
1 2 1
direct
0.250 0.250 0.250
0.008 0.008 0.971
0.492 0.492 0.529
0.750 0.750 0.750
```

no.,spin magnetization (μB/cell),raw total energy (eV/atom)
1,0.00,-3.543
2,0.00,-6.681